Entry 1:
DFT (PBE) results for a relaxed Ag2H2SCl2 crystal.

Summary:
The total DFT energy (no corrections) comes out at -0.1134 hartree per atom. For the total magnetization, the calculation gives 0.0 Bohr magnetons per cell.

Cell lengths 11.344, 4.197, 6.413 Å; angles 90.00, 103.29, 90.00 degrees
Sites, in units of the cell vectors:
Ag  0.119  0.000  0.161
Ag  0.381  0.500  0.839
Ag  0.619  0.500  0.161
Ag  0.881  0.000  0.839
H  0.089  0.500  0.800
H  0.411  0.000  0.200
H  0.589  0.000  0.800
H  0.911  0.500  0.200
S  0.000  0.500  0.000
S  0.500  0.000  0.000
Cl  0.158  0.500  0.638
Cl  0.342  0.000  0.362
Cl  0.658  0.000  0.638
Cl  0.842  0.500  0.362

---

Entry 2:
DFT (PBE) results for a relaxed K2AlCu crystal.

Summary:
For the formation energy, the calculation gives 518 meV per atom. For the total magnetization, the calculation gives 0.0 Bohr magnetons per cell.

Cell lengths 3.612, 3.612, 9.759 Å; angles 90.00, 90.00, 90.00 degrees
Sites, in units of the cell vectors:
K  0.000  0.000  0.223
K  0.000  0.000  0.777
Al  0.500  0.500  0.500
Cu  0.500  0.500  0.000

---

Entry 3:
DFT (PBE) results for a relaxed SrDy2Se4 crystal.

Summary:
For the total magnetization, the calculation gives 0.0 Bohr magnetons per cell. The calculation puts the uncorrected formation energy at -1.96 eV/atom. The energy above the most stable polymorph in this dataset comes out at 0 meV/atom.

Cell lengths 12.636, 4.156, 15.022 Å; angles 90.00, 90.00, 90.00 degrees
Sites, in units of the cell vectors:
Sr  0.241  0.250  0.165
Sr  0.259  0.750  0.665
Sr  0.741  0.250  0.335
Sr  0.759  0.750  0.835
Dy  0.064  0.250  0.390
Dy  0.082  0.250  0.902
Dy  0.418  0.750  0.402
Dy  0.436  0.750  0.890
Dy  0.564  0.250  0.110
Dy  0.582  0.250  0.598
Dy  0.918  0.750  0.098
Dy  0.936  0.750  0.610
Se  0.026  0.750  0.784
Se  0.090  0.250  0.578
Se  0.130  0.750  0.030
Se  0.206  0.750  0.327
Se  0.294  0.250  0.827
Se  0.370  0.250  0.530
Se  0.410  0.750  0.078
Se  0.474  0.250  0.284
Se  0.526  0.750  0.716
Se  0.590  0.250  0.922
Se  0.630  0.750  0.470
Se  0.706  0.750  0.173
Se  0.794  0.250  0.673
Se  0.870  0.250  0.970
Se  0.910  0.750  0.422
Se  0.974  0.250  0.216

---

Entry 4:
DFT (PBE) results for a relaxed HfSc2CuC crystal.

Summary:
For the formation energy, the calculation gives -260 meV per atom. For the total magnetization, the calculation gives 0.1 Bohr magnetons per cell.

Cell lengths 4.454, 4.454, 4.454 Å; angles 90.00, 90.00, 90.00 degrees
Sites, in units of the cell vectors:
Hf  0.000  0.000  0.000
Sc  0.000  0.500  0.500
Sc  0.500  0.000  0.500
Cu  0.500  0.500  0.000
C  0.000  0.000  0.500

---

Entry 5:
DFT (PBE) results for a relaxed LaAlAs2 crystal.

Summary:
For the formation energy, the calculation gives -548 meV per atom. For the total magnetization, the calculation gives 0.0 Bohr magnetons per cell.

Cell lengths 3.820, 3.820, 6.089 Å; angles 90.00, 90.00, 90.00 degrees
Sites, in units of the cell vectors:
La  0.000  0.000  0.000
Al  0.000  0.000  0.500
As  0.500  0.500  0.285
As  0.500  0.500  0.715

---

Entry 6:
DFT (PBE) results for a relaxed SrInGe2 crystal.

Summary:
For the formation energy, the calculation gives -91 meV per atom. For the total magnetization, the calculation gives 0.0 Bohr magnetons per cell.

Cell lengths 4.940, 4.940, 19.271 Å; angles 90.00, 90.00, 90.00 degrees
Sites, in units of the cell vectors:
Sr  0.000  0.000  0.000
Sr  0.000  0.500  0.250
Sr  0.500  0.000  0.750
Sr  0.500  0.500  0.500
In  0.000  0.000  0.500
In  0.000  0.500  0.750
In  0.500  0.000  0.250
In  0.500  0.500  0.000
Ge  0.143  0.250  0.625
Ge  0.250  0.643  0.875
Ge  0.250  0.857  0.375
Ge  0.357  0.250  0.125
Ge  0.643  0.750  0.125
Ge  0.750  0.143  0.375
Ge  0.750  0.357  0.875
Ge  0.857  0.750  0.625

---

Entry 7:
DFT (PBE) results for a relaxed Mn2CoAg crystal.

Summary:
For the formation energy, the calculation gives 463 meV per atom. For the total magnetization, the calculation gives 35.4 Bohr magnetons per cell. The energy above the most stable polymorph in this dataset comes out at 297 meV/atom.

Cell lengths 6.124, 6.124, 6.124 Å; angles 90.00, 90.00, 90.00 degrees
Sites, in units of the cell vectors:
Mn  0.000  0.000  0.000
Mn  0.000  0.500  0.500
Mn  0.250  0.250  0.250
Mn  0.250  0.750  0.750
Mn  0.500  0.000  0.500
Mn  0.500  0.500  0.000
Mn  0.750  0.250  0.750
Mn  0.750  0.750  0.250
Co  0.000  0.000  0.500
Co  0.000  0.500  0.000
Co  0.500  0.000  0.000
Co  0.500  0.500  0.500
Ag  0.250  0.250  0.750
Ag  0.250  0.750  0.250
Ag  0.750  0.250  0.250
Ag  0.750  0.750  0.750

---

Entry 8:
DFT (PBE) results for a relaxed Sm3InOs crystal.

Summary:
For the formation energy, the calculation gives -45 meV per atom. For the total magnetization, the calculation gives 0.0 Bohr magnetons per cell. The energy above the most stable polymorph in this dataset comes out at 237 meV/atom.

Cell lengths 5.457, 5.457, 5.457 Å; angles 90.00, 90.00, 90.00 degrees
Sites, in units of the cell vectors:
Sm  0.000  0.000  0.500
Sm  0.000  0.500  0.000
Sm  0.500  0.000  0.000
In  0.500  0.500  0.500
Os  0.000  0.000  0.000

---

Entry 9:
DFT (PBE) results for a relaxed Ce8In2Sn crystal.

Summary:
For the formation energy, the calculation gives -149 meV per atom. For the total magnetization, the calculation gives 4.6 Bohr magnetons per cell.

Cell lengths 8.353, 8.353, 5.686 Å; angles 101.43, 101.43, 118.18 degrees
Sites, in units of the cell vectors:
Ce  0.082  0.275  0.591
Ce  0.226  0.774  0.000
Ce  0.275  0.082  0.591
Ce  0.406  0.406  0.151
Ce  0.594  0.594  0.849
Ce  0.725  0.918  0.409
Ce  0.774  0.226  0.000
Ce  0.918  0.725  0.409
In  0.311  0.689  0.500
In  0.689  0.311  0.500
Sn  0.000  0.000  0.000

---

Entry 10:
DFT (PBE) results for a relaxed Pu3GeAs2 crystal.

Summary:
For the formation energy, the calculation gives -722 meV per atom. For the total magnetization, the calculation gives 10.2 Bohr magnetons per cell.

Cell lengths 7.184, 7.184, 7.171 Å; angles 99.63, 99.63, 119.89 degrees
Sites, in units of the cell vectors:
Pu  0.000  0.500  0.500
Pu  0.160  0.330  0.001
Pu  0.330  0.160  0.501
Pu  0.500  0.000  0.000
Pu  0.670  0.840  0.499
Pu  0.840  0.670  0.999
Ge  0.416  0.584  0.750
Ge  0.584  0.416  0.250
As  0.082  0.918  0.750
As  0.251  0.749  0.250
As  0.749  0.251  0.750
As  0.918  0.082  0.250

---

Entry 11:
DFT (PBE) results for a relaxed ZrZnCr crystal.

Summary:
For the formation energy, the calculation gives 526 meV per atom. For the total magnetization, the calculation gives 11.6 Bohr magnetons per cell.

Cell lengths 6.188, 6.188, 6.188 Å; angles 90.00, 90.00, 90.00 degrees
Sites, in units of the cell vectors:
Zr  0.000  0.000  0.000
Zr  0.000  0.500  0.500
Zr  0.500  0.000  0.500
Zr  0.500  0.500  0.000
Zn  0.250  0.250  0.250
Zn  0.250  0.750  0.750
Zn  0.750  0.250  0.750
Zn  0.750  0.750  0.250
Cr  0.000  0.000  0.500
Cr  0.000  0.500  0.000
Cr  0.500  0.000  0.000
Cr  0.500  0.500  0.500

---

Entry 12:
DFT (PBE) results for a relaxed NdH6Pd2Rh crystal.

Summary:
The total DFT energy (no corrections) comes out at -0.1697 hartree per atom. For the total magnetization, the calculation gives 0.0 Bohr magnetons per cell.

Cell lengths 4.758, 8.632, 4.681 Å; angles 90.00, 90.00, 90.00 degrees
Sites, in units of the cell vectors:
Nd  0.000  0.000  0.000
Nd  0.500  0.500  0.500
H  0.143  0.355  0.231
H  0.143  0.355  0.769
H  0.178  0.087  0.500
H  0.322  0.587  0.000
H  0.357  0.855  0.269
H  0.357  0.855  0.731
H  0.643  0.145  0.269
H  0.643  0.145  0.731
H  0.678  0.413  0.000
H  0.822  0.913  0.500
H  0.857  0.645  0.231
H  0.857  0.645  0.769
Pd  0.060  0.747  0.500
Pd  0.440  0.247  0.000
Pd  0.560  0.753  0.000
Pd  0.940  0.253  0.500
Rh  0.000  0.500  0.000
Rh  0.500  0.000  0.500

---

What did the eleventh record say?
DFT (PBE) results for a relaxed ZrZnCr crystal.

Summary:
For the formation energy, the calculation gives 526 meV per atom. For the total magnetization, the calculation gives 11.6 Bohr magnetons per cell.

Cell lengths 6.188, 6.188, 6.188 Å; angles 90.00, 90.00, 90.00 degrees
Sites, in units of the cell vectors:
Zr  0.000  0.000  0.000
Zr  0.000  0.500  0.500
Zr  0.500  0.000  0.500
Zr  0.500  0.500  0.000
Zn  0.250  0.250  0.250
Zn  0.250  0.750  0.750
Zn  0.750  0.250  0.750
Zn  0.750  0.750  0.250
Cr  0.000  0.000  0.500
Cr  0.000  0.500  0.000
Cr  0.500  0.000  0.000
Cr  0.500  0.500  0.500